# 1
# BeMoPb

A relaxed structure of BeMoPb (PBE-GGA, Alexandria via LeMat-Bulk).

abc: 3.0529 3.0529 6.7569
angles: 90.00 90.00 120.00
Closest atoms and distances in Å follow each position.
Positions (direct):
Be1 0.0000 0.0000 0.0000  3 Mo 2.50
Mo1 0.6667 0.3333 0.2633  3 Be 2.50
Pb1 0.3333 0.6667 0.6352  3 Be 3.03, 6 Pb 3.05, 3 Mo 3.07

The calculation puts the excess energy over the best structure of this formula in the dataset at 272.4 meV/atom. The crystal system is trigonal. For the density of states at the Fermi level, the calculation gives 3.4 states/eV/f.u.

# 2
# BeMo2Pb

A relaxed structure of BeMo2Pb (PBE-GGA, Alexandria via LeMat-Bulk).

abc: 4.8295 4.8295 4.8295
angles: 129.49 129.49 74.23
Closest atoms and distances in Å follow each position.
Positions (direct):
Be1 0.0000 0.0000 0.0000  8 Mo 2.82-2.91, 4 Pb 2.82
Mo1 0.2500 0.7500 0.5000  4 Mo 2.82, 4 Be 2.82, 4 Pb 2.91
Mo2 0.5000 0.5000 0.0000  4 Pb 2.82, 4 Mo 2.82, 4 Be 2.91
Pb1 0.7500 0.2500 0.5000  8 Mo 2.82-2.91, 4 Be 2.82

The calculation puts the excess energy over the best structure of this formula in the dataset at 334.0 meV/atom. The crystal system is tetragonal. For the density of states at the Fermi level, the calculation gives 2.1 states/eV/f.u.

# 3
# BeMo2Pb

A relaxed structure of BeMo2Pb (PBE-GGA, Alexandria via LeMat-Bulk).

abc: 10.1295 10.1295 10.1295
angles: 158.23 158.23 30.98
Closest atoms and distances in Å follow each position.
Positions (direct):
Be1 0.0000 0.0000 0.0000  4 Pb 2.71, 4 Mo 2.74
Be2 0.7500 0.2500 0.5000  4 Pb 2.71, 4 Mo 2.74
Mo1 0.0815 0.6250 0.9565  2 Mo 2.48, 2 Be 2.74
Mo2 0.3750 0.3315 0.4565  2 Mo 2.48, 2 Be 2.74
Mo3 0.6685 0.1250 0.0435  2 Mo 2.48, 2 Be 2.74
Mo4 0.8750 0.9185 0.5435  2 Mo 2.48, 2 Be 2.74
Pb1 0.2500 0.7500 0.5000  4 Be 2.71, 4 Mo 2.85
Pb2 0.5000 0.5000 0.0000  4 Be 2.71, 4 Mo 2.85

The calculation puts the excess energy over the best structure of this formula in the dataset at 504.7 meV/atom. The crystal system is tetragonal. For the density of states at the Fermi level, the calculation gives 3.5 states/eV/f.u.